[1]
A plane-wave DFT calculation with PBE was carried out for a relaxed SrNiPt2S crystal.

Unit cell a=4.531 b=4.531 c=5.401 alpha=90.00 beta=90.00 gamma=90.00
Sites, in units of the cell vectors:
Sr 0.000 0.000 0.000
Ni 0.500 0.500 0.000
Pt 0.000 0.500 0.500
Pt 0.500 0.000 0.500
S 0.000 0.000 0.500

Calculated values
E = -4.53 eV per atom
V = 22.2 Å³/atom
Crystal system = tetragonal
Uncorrected formation energy = 0.205 eV per atom
Space group = P4/mmm, No. 123

[2]
A plane-wave DFT calculation with PBE was carried out for a relaxed La2ZnW crystal.

Unit cell a=4.520 b=4.520 c=9.217 alpha=90.00 beta=90.00 gamma=90.00
Sites, in units of the cell vectors:
La 0.000 0.000 0.000
La 0.000 0.500 0.250
La 0.500 0.000 0.750
La 0.500 0.500 0.500
Zn 0.000 0.000 0.500
Zn 0.500 0.500 0.000
W 0.000 0.500 0.750
W 0.500 0.000 0.250

Calculated values
E = -5.57 eV per atom
V = 23.5 Å³/atom
Crystal system = tetragonal
Space group = I-4m2, No. 119
E_form = 0.45 eV/atom

[3]
A plane-wave DFT calculation with PBE was carried out for a relaxed Ce6TmIn5 crystal.

Unit cell a=8.922 b=8.922 c=8.922 alpha=149.35 beta=113.37 gamma=75.11
Sites, in units of the cell vectors:
Ce 0.077 0.332 0.746
Ce 0.241 0.000 0.241
Ce 0.414 0.668 0.746
Ce 0.586 0.332 0.254
Ce 0.759 0.000 0.759
Ce 0.923 0.668 0.254
Tm 0.500 0.500 0.000
In 0.000 0.500 0.500
In 0.173 0.173 0.000
In 0.339 0.839 0.500
In 0.661 0.161 0.500
In 0.827 0.827 0.000

Calculated values
E = -4.77 eV per atom
V = 27.2 Å³/atom
Crystal system = orthorhombic
Space group = Immm, No. 71
E_form = -0.28 eV/atom

[4]
A plane-wave DFT calculation with PBE was carried out for a relaxed TcAu2Br crystal.

Unit cell a=9.069 b=3.153 c=6.789 alpha=90.00 beta=101.94 gamma=90.00
Sites, in units of the cell vectors:
Tc 0.000 0.000 0.000
Tc 0.500 0.500 0.000
Au 0.001 0.500 0.341
Au 0.246 0.500 0.146
Au 0.501 0.000 0.341
Au 0.746 0.000 0.146
Br 0.409 0.000 0.713
Br 0.909 0.500 0.713

Calculated values
E = -4.25 eV per atom
V = 23.7 Å³/atom
Energy above the most stable polymorph in this dataset = 57 meV per atom
Crystal system = monoclinic
Uncorrected formation energy = 0.400 eV per atom
Space group = Cm, No. 8

[5]
A plane-wave DFT calculation with PBE was carried out for a relaxed TiGaAgPd crystal.

Unit cell a=6.346 b=6.346 c=6.346 alpha=90.00 beta=90.00 gamma=90.00
Sites, in units of the cell vectors:
Ti 0.000 0.000 0.000
Ti 0.000 0.500 0.500
Ti 0.500 0.000 0.500
Ti 0.500 0.500 0.000
Ga 0.000 0.000 0.500
Ga 0.000 0.500 0.000
Ga 0.500 0.000 0.000
Ga 0.500 0.500 0.500
Ag 0.250 0.250 0.250
Ag 0.250 0.750 0.750
Ag 0.750 0.250 0.750
Ag 0.750 0.750 0.250
Pd 0.250 0.250 0.750
Pd 0.250 0.750 0.250
Pd 0.750 0.250 0.250
Pd 0.750 0.750 0.750

Calculated values
E = -5.08 eV per atom
V = 16.0 Å³/atom
Crystal system = cubic
Space group = F-43m, No. 216
E_form = -0.34 eV/atom

[6]
A plane-wave DFT calculation with PBE was carried out for a relaxed KMg2Pt crystal.

Unit cell a=3.082 b=5.750 c=11.577 alpha=90.00 beta=90.00 gamma=90.00
Sites, in units of the cell vectors:
K 0.000 0.000 0.000
K 0.500 0.500 0.500
Mg 0.000 0.500 0.188
Mg 0.000 0.500 0.812
Mg 0.500 0.000 0.312
Mg 0.500 0.000 0.688
Pt 0.000 0.000 0.500
Pt 0.500 0.500 0.000

Calculated values
E = -2.77 eV per atom
V = 25.6 Å³/atom
Energy above the most stable polymorph in this dataset = 122 meV per atom
Crystal system = orthorhombic
Space group = Immm, No. 71
E_form = -0.19 eV/atom

[7]
A plane-wave DFT calculation with PBE was carried out for a relaxed TiTlW2 crystal.

Unit cell a=3.891 b=3.891 c=20.214 alpha=90.00 beta=90.00 gamma=90.00
Sites, in units of the cell vectors:
Ti 0.000 0.000 0.000
Ti 0.000 0.500 0.250
Ti 0.500 0.000 0.750
Ti 0.500 0.500 0.500
Tl 0.000 0.000 0.500
Tl 0.000 0.500 0.750
Tl 0.500 0.000 0.250
Tl 0.500 0.500 0.000
W 0.226 0.250 0.125
W 0.250 0.726 0.375
W 0.250 0.774 0.875
W 0.274 0.250 0.625
W 0.726 0.750 0.625
W 0.750 0.226 0.875
W 0.750 0.274 0.375
W 0.774 0.750 0.125

Calculated values
E = -8.12 eV per atom
V = 19.1 Å³/atom
Energy above the most stable polymorph in this dataset = 76 meV per atom
Crystal system = tetragonal
Space group = I-42d, No. 122
E_form = 0.92 eV/atom